Compound: LiHoThSe4
Source: Alexandria via LeMat-Bulk
Functional: PBE-GGA
Structure: optimized geometry

Cell: 8.2019 8.3820 8.3820 Å, 61.76 60.71 60.71°
Last column: nearest neighbours and their distance in Å.
Fractional positions:
1 Li 0.6351 0.6149 0.1149  4 Se 2.69-2.70
2 Li 0.3649 0.3851 0.8851  4 Se 2.69-2.70
3 Ho 0.5000 0.0000 0.5000  6 Se 2.87-2.88
4 Ho 0.0000 0.0000 0.5000  6 Se 2.87-2.88
5 Th 0.0000 0.0000 0.0000  6 Se 2.91-2.93
6 Th 0.0000 0.5000 0.5000  6 Se 2.91-2.93
7 Se 0.7542 0.7630 0.7286  1 Li 2.70, 2 Ho 2.87, 1 Th 2.91
8 Se 0.2458 0.7714 0.7370  1 Li 2.70, 2 Ho 2.87, 1 Th 2.91
9 Se 0.7542 0.2286 0.2630  1 Li 2.70, 2 Ho 2.87, 1 Th 2.91
10 Se 0.2458 0.2370 0.2714  1 Li 2.70, 2 Ho 2.87, 1 Th 2.91
11 Se 0.2361 0.7562 0.2562  1 Li 2.69, 1 Ho 2.88, 2 Th 2.93
12 Se 0.7514 0.7562 0.2562  1 Li 2.69, 1 Ho 2.88, 2 Th 2.93
13 Se 0.2486 0.2438 0.7438  1 Li 2.69, 1 Ho 2.88, 2 Th 2.93
14 Se 0.7639 0.2438 0.7438  1 Li 2.69, 1 Ho 2.88, 2 Th 2.93

Computed properties:
Uncorrected energy (Ry/atom): -0.4167
ΔE_f (raw) (eV/atom): -1.691